1.
Sm3Sb3W2N12 after structural relaxation, computed with PBE.

The structure in extended XYZ format:
```
80
Lattice="-6.482 6.482 6.482 6.482 -6.482 6.482 6.482 6.482 -6.482" Properties=species:S:1:pos:R:3 pbc="T T T"
Sm 3.241 1.620 0.000
Sm 6.482 3.241 -1.620
Sm 1.620 0.000 3.241
Sm 8.102 0.000 3.241
Sm 0.000 3.241 1.620
Sm 3.241 -1.620 6.482
Sm 3.241 8.102 0.000
Sm 6.482 3.241 4.861
Sm -1.620 6.482 3.241
Sm 4.861 6.482 3.241
Sm 0.000 3.241 8.102
Sm 3.241 4.861 6.482
Sb 9.722 1.620 0.000
Sb 6.482 -3.241 4.861
Sb 4.861 6.482 -3.241
Sb 4.861 0.000 3.241
Sb 3.241 4.861 0.000
Sb 6.482 3.241 1.620
Sb 0.000 3.241 4.861
Sb 3.241 1.620 6.482
Sb 1.620 6.482 3.241
Sb 1.620 0.000 9.722
Sb 0.000 9.722 1.620
Sb -3.241 4.861 6.482
W 0.000 0.000 0.000
W 3.241 3.241 -3.241
W 3.241 -3.241 3.241
W 6.482 0.000 0.000
W -3.241 3.241 3.241
W 0.000 6.482 0.000
W 0.000 0.000 6.482
W 3.241 3.241 3.241
N 1.865 -0.373 0.715
N 7.858 3.956 -3.613
N 8.346 0.373 0.715
N 7.858 -2.526 3.613
N 6.109 -0.715 1.865
N 10.095 -1.376 2.526
N 0.715 1.865 -0.373
N 9.007 2.868 -1.376
N 3.956 3.613 -1.376
N 5.767 1.865 0.373
N -0.373 0.715 1.865
N 3.613 -1.376 3.956
N 6.109 5.767 -1.865
N 3.613 1.376 2.526
N 3.956 -3.613 7.858
N 5.767 -1.865 6.109
N 2.526 3.613 1.376
N 7.196 4.617 0.373
N 3.613 7.858 -2.526
N 6.109 0.715 4.617
N 1.865 6.109 -0.715
N 7.858 2.526 2.868
N 1.376 2.526 3.613
N 1.865 0.373 5.767
N 4.617 6.109 0.715
N 5.106 3.956 2.868
N -1.376 3.956 3.613
N 4.617 0.373 7.196
N 0.373 5.767 1.865
N 2.868 -1.376 9.007
N -0.715 1.865 6.109
N 3.956 2.868 5.106
N 0.715 8.346 0.373
N 2.526 10.095 -1.376
N 2.868 5.106 3.956
N 0.373 0.715 8.346
N 2.868 7.858 2.526
N 6.854 5.767 4.617
N 0.715 4.617 6.109
N 2.526 2.868 7.858
N -2.526 3.613 7.858
N 5.767 4.617 6.854
N -3.613 7.858 3.956
N 0.373 7.196 4.617
N -1.376 9.007 2.868
N -1.865 6.109 5.767
N -1.376 2.526 10.095
N 4.617 6.854 5.767
```

Crystal system: cubic
Uncorrected energy: -7.9536 eV per atom

=====

2.
AcB4Os after structural relaxation, computed with PBE.

The structure in extended XYZ format:
```
6
Lattice="-1.566 2.742 4.191 1.566 -2.742 4.191 1.566 2.742 -4.191" Properties=species:S:1:pos:R:3 pbc="T T T"
Ac 0.000 0.000 0.000
B 1.566 -0.885 2.151
B 1.566 0.885 2.151
B 0.000 1.857 2.041
B 0.000 3.627 2.041
Os 0.000 0.000 4.191
```

ΔE to the lowest computed polymorph: 0.2610 eV/atom
Crystal system: orthorhombic

=====

What is the formula in the second record? AcB4Os